Crystalline AcPm2SbN4 at its relaxed geometry. Source: Alexandria via LeMat-Bulk, functional PBE-GGA.

Cell: 3.8428 6.3952 12.2256 Å, 90.00 90.00 107.48°
Closest atoms and distances in Å follow each position.
Positions (direct):
Ac 0.1025 0.2050 0.7500  6 N 2.84-2.93
Ac 0.8975 0.7950 0.2500  6 N 2.84-2.93
Pm 0.3719 0.7438 0.5391  3 N 2.35-2.52
Pm 0.6281 0.2562 0.0391  3 N 2.35-2.52
Pm 0.6281 0.2562 0.4609  3 N 2.35-2.52
Pm 0.3719 0.7438 0.9609  3 N 2.35-2.52
Sb 0.8413 0.6825 0.7500  4 N 2.08-2.16
Sb 0.1587 0.3175 0.2500  4 N 2.08-2.16
N 0.2773 0.5546 0.1281  1 Sb 2.08
N 0.7227 0.4454 0.6281  1 Sb 2.08
N 0.7227 0.4454 0.8719  1 Sb 2.08
N 0.2773 0.5546 0.3719  1 Sb 2.08
N 0.0000 0.0000 0.5000  4 Pm 2.52
N 0.0000 0.0000 0.0000  4 Pm 2.52
N 0.4214 0.8429 0.7500  2 Sb 2.16
N 0.5786 0.1571 0.2500  2 Sb 2.16

Results
Final energy ... -0.2599 Ha/atom
Crystal system ... orthorhombic